First-principles (GGA-PBE) data for Cs3BaSr2Cl9 after structural relaxation, as listed in Alexandria.

## Properties
As for the magnetic moment: 0.000 Bohr magnetons per cell. Its space group is P-3m1. For the raw formation energy, the calculation gives -2.281 eV per atom.

abc: 8.159 8.159 10.393
angles: 90.00 90.00 120.00
Positions (direct):
1 Cl 0.834 0.669 0.686
2 Cs 0.333 0.667 0.717
3 Cs 0.667 0.333 0.283
4 Cl 0.500 0.000 0.000
5 Sr 0.333 0.667 0.163
6 Cl 0.000 0.500 0.000
7 Cl 0.331 0.166 0.686
8 Ba 0.000 0.000 0.500
9 Cs 0.000 0.000 0.000
10 Cl 0.166 0.834 0.314
11 Cl 0.669 0.834 0.314
12 Cl 0.500 0.500 0.000
13 Cl 0.834 0.166 0.686
14 Cl 0.166 0.331 0.314
15 Sr 0.667 0.333 0.837

=====

First-principles (GGA-PBE) data for LaRe4 after structural relaxation, as listed in Alexandria.

## Properties
As for the magnetic moment: 1.133 Bohr magnetons per cell. Its space group is Pm-3m. Its calculated formation energy is 77.0 kcal/mol of atoms.

abc: 4.692 4.692 4.692
angles: 90.00 90.00 90.00
Each line ends with the local moment (μB).
Positions (direct):
1 La 0.500 0.500 0.500  0.00
2 Re 0.500 0.000 0.500  0.17
3 Re 0.500 0.500 0.000  0.17
4 Re 0.000 0.000 0.000  -1.51
5 Re 0.000 0.500 0.500  0.17